VCdSeF2 | GGA+U | optimized geometry

Calculated values
- N(E_F) (states/eV/cell) = 1.3
- symmetry = P4/mmm, No. 123
- total energy (eV/atom) = -4.779

POSCAR file:
```
VCdSeF2
1.0
4.033 0.000 0.000
0.000 4.033 0.000
0.000 0.000 5.561
V Cd Se F
1 1 1 2
Direct
0.000 0.000 0.000
0.500 0.500 0.500
0.000 0.000 0.500
0.000 0.500 0.000
0.500 0.000 0.000
```